Record 1
VASP calculation (GGA-PBE) on a geometry-optimized CsTlAg structure.

```
6
Lattice="4.9026 0.0000 0.0000 0.0105 5.5237 0.0000 0.0058 0.8058 8.7067" Properties=species:S:1:pos:R:3 pbc="T T T"
Cs 1.2246 1.7456 2.9479
Cs 3.6943 4.5838 5.7587
Tl 1.2365 1.6196 7.4975
Tl 3.6824 4.7099 1.2092
Ag 1.2363 4.4028 8.6323
Ag 3.6826 1.9266 0.0744
```

## Properties
space-group type	P-1, No. 2
energy	-12.34	eV per cell
energy above the most stable polymorph in this dataset	0	meV per atom
calculated volume	235.8	Å³/cell

=====

Record 2
VASP calculation (GGA-PBE) on a geometry-optimized Cu3Ag7 structure.

```
10
Lattice="6.0609 -1.4425 0.0000 6.0609 1.4425 0.0000 -1.6712 0.0000 9.3297" Properties=species:S:1:pos:R:3 pbc="T T T"
Cu 0.0000 0.0000 0.0000
Cu 0.6298 0.0000 2.5307
Cu 4.6824 0.0000 1.6698
Ag 1.4290 0.0000 5.4262
Ag 2.2730 0.0000 8.3655
Ag 5.2801 0.0000 4.3586
Ag 5.9335 0.0000 7.4222
Ag 8.2730 0.0000 0.8283
Ag 9.0215 0.0000 3.4500
Ag 9.7934 0.0000 6.3587
```

## Properties
space-group type	Cm, No. 8
energy	-30.24	eV per cell
energy above the most stable polymorph in this dataset	39	meV per atom
E_form	0.0682	eV per atom
calculated volume	163.1	Å³/cell

=====

Record 3
VASP calculation (GGA-PBE) on a geometry-optimized Cu3Ag2 structure.

```
10
Lattice="2.7632 0.0000 0.0000 0.0000 2.7632 0.0000 0.0000 0.0000 18.5639" Properties=species:S:1:pos:R:3 pbc="T T T"
Cu 0.0000 0.0000 0.0000
Cu 0.0000 0.0000 3.1836
Cu 0.0000 0.0000 11.4963
Cu 1.3816 1.3816 1.5883
Cu 1.3816 1.3816 13.0857
Cu 1.3816 1.3816 16.9783
Ag 0.0000 0.0000 7.3470
Ag 0.0000 0.0000 15.0358
Ag 1.3816 1.3816 5.1212
Ag 1.3816 1.3816 9.5681
```

## Properties
space-group type	P4mm, No. 99
energy	-32.98	eV per cell
energy above the most stable polymorph in this dataset	20	meV per atom
E_form	0.0620	eV per atom
calculated volume	141.7	Å³/cell

=====

Record 4
VASP calculation (GGA-PBE) on a geometry-optimized Cu3Ag7 structure.

```
40
Lattice="7.5085 0.0000 0.0000 1.0695 8.9456 0.0000 3.1921 4.1531 9.6201" Properties=species:S:1:pos:R:3 pbc="T T T"
Cu 0.0000 0.0000 0.0000
Cu 2.1226 4.2313 5.7426
Cu 2.1545 8.7538 3.6962
Cu 1.5162 1.4861 1.5635
Cu 3.1264 7.8057 1.4070
Cu 5.3513 7.4250 9.1347
Cu 3.7193 4.8697 1.0779
Cu 6.4321 10.9436 4.7554
Cu 8.0536 7.9899 8.4150
Cu 5.9496 8.3860 0.6198
Cu 8.6292 5.2650 8.2207
Cu 6.9845 2.6193 0.1532
Ag 3.2423 8.5592 7.7324
Ag 1.0764 4.1902 1.7610
Ag 3.6933 5.7762 7.5039
Ag 2.6408 5.9874 3.4504
Ag 3.7824 10.3889 5.4860
Ag 4.8852 10.2634 9.3968
Ag 3.1863 3.1751 3.3013
Ag 4.2532 7.5973 5.2034
Ag 5.3940 11.9852 7.1630
Ag 4.7373 9.3592 2.9463
Ag 5.8721 4.6359 8.9790
Ag 4.7764 4.7853 5.0100
Ag 5.9516 9.1749 6.9938
Ag 5.2714 6.5903 2.6687
Ag 6.4490 6.4141 6.8249
Ag 4.2795 2.2119 0.7943
Ag 7.5511 10.8228 8.7543
Ag 5.8486 3.7304 2.5837
Ag 6.9762 8.2252 4.4886
Ag 7.0339 3.6455 6.4682
Ag 6.4173 5.4053 0.4145
Ag 7.4952 5.3681 4.2432
Ag 6.4398 0.9926 2.2749
Ag 8.6065 9.7526 6.2470
Ag 9.0962 6.9398 5.9996
Ag 8.0181 7.1966 2.0391
Ag 8.0327 2.5086 4.0324
Ag 10.2395 11.5400 7.9720
```

## Properties
space-group type	P1, No. 1
energy	-120.70	eV per cell
energy above the most stable polymorph in this dataset	46	meV per atom
E_form	0.0745	eV per atom
calculated volume	646.2	Å³/cell

=====

Record 5
VASP calculation (GGA-PBE) on a geometry-optimized Cu5Ag3 structure.

```
8
Lattice="0.0000 3.7338 5.5171 2.7565 0.0000 5.5171 2.7565 3.7338 0.0000" Properties=species:S:1:pos:R:3 pbc="T T T"
Cu 0.0000 0.0000 0.0000
Cu 1.3783 1.8669 1.3104
Cu 1.3783 1.8669 4.2067
Cu 4.1348 5.6006 6.8275
Cu 4.1348 5.6006 9.7239
Ag 2.7565 3.7338 2.6905
Ag 2.7565 3.7338 5.5171
Ag 2.7565 3.7338 8.3438
```

## Properties
space-group type	Fmmm, No. 69
energy	-26.28	eV per cell
energy above the most stable polymorph in this dataset	50	meV per atom
E_form	0.0970	eV per atom
calculated volume	113.6	Å³/cell

=====

Record 6
VASP calculation (GGA-PBE) on a geometry-optimized Cu4Ag5 structure.

```
9
Lattice="2.8184 0.0000 0.0000 -1.4092 2.4408 0.0000 0.0000 0.0000 20.1307" Properties=species:S:1:pos:R:3 pbc="T T T"
Cu 0.0000 1.6272 0.9696
Cu 0.0000 1.6272 7.8738
Cu 1.4092 0.8136 12.2569
Cu 1.4092 0.8136 19.1611
Ag 0.0000 0.0000 3.1946
Ag 0.0000 0.0000 10.0653
Ag 0.0000 0.0000 16.9361
Ag 0.0000 1.6272 14.4434
Ag 1.4092 0.8136 5.6873
```

## Properties
space-group type	P-3m1, No. 164
energy	-28.08	eV per cell
energy above the most stable polymorph in this dataset	63	meV per atom
E_form	0.1008	eV per atom
calculated volume	138.5	Å³/cell

=====

Record 7
VASP calculation (GGA-PBE) on a geometry-optimized CuAg structure.

```
10
Lattice="4.7709 0.0000 0.0000 0.0000 2.8162 0.0000 -1.2386 0.0000 11.1567" Properties=species:S:1:pos:R:3 pbc="T T T"
Cu 0.0000 0.0000 0.0000
Cu -0.5660 1.4081 9.0959
Cu 0.9686 1.4081 4.5396
Cu 1.9660 0.0000 9.0156
Cu 4.0444 1.4081 2.1140
Ag 0.2428 0.0000 6.8576
Ag 1.5668 0.0000 2.2972
Ag 1.1702 1.4081 11.1190
Ag 2.6229 1.4081 6.8050
Ag 3.4162 0.0000 4.3905
```

## Properties
space-group type	Pm, No. 6
energy	-31.66	eV per cell
E_form	0.1042	eV per atom
calculated volume	149.9	Å³/cell

=====

Record 8
VASP calculation (GGA-PBE) on a geometry-optimized Cu7Ag2 structure.

```
9
Lattice="5.5944 -1.3428 0.0000 5.5944 1.3428 0.0000 -2.0115 0.0000 7.9144" Properties=species:S:1:pos:R:3 pbc="T T T"
Cu 0.0000 0.0000 0.0000
Cu -0.6189 0.0000 2.7801
Cu 2.7783 0.0000 3.5277
Cu 2.2938 0.0000 6.0974
Cu 6.8835 0.0000 1.8170
Cu 6.3991 0.0000 4.3867
Cu 9.7963 0.0000 5.1343
Ag 3.5295 0.0000 0.9897
Ag 5.6479 0.0000 6.9247
```

## Properties
space-group type	C2/m, No. 12
energy	-30.99	eV per cell
energy above the most stable polymorph in this dataset	29	meV per atom
E_form	0.0755	eV per atom
calculated volume	118.9	Å³/cell